Computed, not measured: crystalline AlIrBr2 at its relaxed geometry at the PBE-GGA level of DFT.

a = 4.040 Å, b = 4.040 Å, c = 7.471 Å
α = 90.23°, β = 90.23°, γ = 59.78°
Element x y z (fractional)
Ir1 0.592 0.592 0.326
Al1 0.264 0.264 0.416
Br1 0.959 0.959 0.107
Br2 0.685 0.685 0.651

Computed properties:
Raw formation energy in eV/atom: -0.21
Volume in Å³ per cell: 105.4
Mass density in Mg/m³: 5.97
E_tot in eV per atom: -4.1932
ΔE to the lowest computed polymorph in meV per atom: 87.1